[1]
The following is a GGA-PBE calculation of a geometry-optimized NiPPb structure, from Alexandria via LeMat-Bulk.

Lattice parameters (Å, degrees): 6.347 6.347 6.347 151.84 151.84 40.25
Positions (direct):
P 0.611 0.611 0.000
Ni 0.040 0.040 0.000
Pb 0.348 0.348 0.000

Values from the calculation:
Total moment ... 0.00 μB per formula unit
Formation energy ... 24.2 meV per atom

***

[2]
The following is a GGA-PBE calculation of a geometry-optimized BaSi2Pd structure, from Alexandria via LeMat-Bulk.

Lattice parameters (Å, degrees): 4.964 4.964 4.964 60.00 60.00 60.00
Positions (direct):
Ba 0.500 0.500 0.500
Si 0.250 0.250 0.250
Si 0.750 0.750 0.750
Pd 0.000 0.000 0.000

Values from the calculation:
Total DFT energy (no corrections) ... -4.30 eV per atom
Total moment ... 0.00 μB per formula unit

***

[3]
The following is a GGA-PBE calculation of a geometry-optimized CeZrRu structure, from Alexandria via LeMat-Bulk.

Lattice parameters (Å, degrees): 3.298 3.298 6.476 104.75 104.75 90.00
Positions (direct):
Ru 0.678 0.678 0.356
Zr 0.303 0.303 0.605
Ce 0.019 0.019 0.038

Values from the calculation:
Total moment ... 1.33 μB per formula unit
Formation energy ... -208.1 meV per atom

***

[4]
The following is a GGA-PBE calculation of a geometry-optimized NaScSn2Te4 structure, from Alexandria via LeMat-Bulk.

Lattice parameters (Å, degrees): 4.402 7.691 7.685 71.45 90.00 90.00
Positions (direct):
Sn 0.000 0.000 0.000
Sn 0.500 0.000 0.500
Te 0.000 0.261 0.265
Te 0.500 0.267 0.731
Te 0.500 0.733 0.269
Te 0.000 0.739 0.735
Sc 0.000 0.500 0.500
Na 0.500 0.500 0.000

Values from the calculation:
Total DFT energy (no corrections) ... -4.19 eV per atom
Total moment ... 0.00 μB per formula unit

***

[5]
The following is a GGA-PBE calculation of a geometry-optimized Mn5C3 structure, from Alexandria via LeMat-Bulk.

Lattice parameters (Å, degrees): 5.924 5.924 5.927 98.87 98.87 133.78
Positions (direct):
C 0.766 0.266 0.180
C 0.266 0.086 0.500
C 0.280 0.280 0.000
C 0.586 0.766 0.500
C 0.780 0.780 0.000
C 0.086 0.586 0.821
Mn 0.327 0.459 0.716
Mn 0.744 0.612 0.285
Mn 0.959 0.827 0.716
Mn 0.243 0.959 0.132
Mn 0.827 0.111 0.868
Mn 0.112 0.244 0.285
Mn 0.227 0.727 0.500
Mn 0.459 0.743 0.132
Mn 0.727 0.227 0.501
Mn 0.611 0.327 0.868

Values from the calculation:
Total moment ... 4.82 μB per formula unit
Formation energy ... 187.9 meV per atom
Polymorph energy (0 for the lowest one) ... 0.020 eV/atom

***

[6]
The following is a GGA-PBE calculation of a geometry-optimized Mn2BeCu structure, from Alexandria via LeMat-Bulk.

Lattice parameters (Å, degrees): 2.421 2.421 7.811 90.00 90.00 110.81
Positions (direct):
Cu 0.500 0.500 0.733
Mn 0.000 0.000 0.010
Mn 0.500 0.500 0.261
Be 0.000 0.000 0.496

Values from the calculation:
Total moment ... 0.49 μB per formula unit
Formation energy ... 107.5 meV per atom

***

[7]
The following is a GGA-PBE calculation of a geometry-optimized CaLa2Au2 structure, from Alexandria via LeMat-Bulk.

Lattice parameters (Å, degrees): 8.898 8.898 3.600 90.00 90.00 90.00
Positions (direct):
Au 0.157 0.657 0.500
Au 0.843 0.343 0.500
Au 0.657 0.843 0.500
Au 0.343 0.157 0.500
La 0.859 0.641 0.000
La 0.641 0.141 0.000
La 0.141 0.359 0.000
La 0.359 0.859 0.000
Ca 0.500 0.500 0.000
Ca 0.000 0.000 0.000

Values from the calculation:
Total moment ... 0.00 μB per formula unit
Formation energy ... -534.7 meV per atom
Polymorph energy (0 for the lowest one) ... 0.155 eV/atom

***

[8]
The following is a GGA-PBE calculation of a geometry-optimized BaEuTlPb structure, from Alexandria via LeMat-Bulk.

Lattice parameters (Å, degrees): 5.895 5.895 5.895 60.00 60.00 60.00
Positions (direct):
Tl 0.750 0.750 0.750
Ba 0.000 0.000 0.000
Pb 0.250 0.250 0.250
Eu 0.500 0.500 0.500

Values from the calculation:
Total moment ... 7.31 μB per formula unit
Formation energy ... -454.9 meV per atom

***

[9]
The following is a GGA-PBE calculation of a geometry-optimized ScBeFe structure, from Alexandria via LeMat-Bulk.

Lattice parameters (Å, degrees): 3.150 3.150 5.050 90.00 90.00 120.00
Positions (direct):
Be 0.000 0.000 0.056
Fe 0.667 0.333 0.280
Sc 0.333 0.667 0.664

Values from the calculation:
Total moment ... 1.07 μB per formula unit
Formation energy ... 275.1 meV per atom
Polymorph energy (0 for the lowest one) ... 0.467 eV/atom

***

[10]
The following is a GGA-PBE calculation of a geometry-optimized Ho3Tm6Tl structure, from Alexandria via LeMat-Bulk.

Lattice parameters (Å, degrees): 6.126 10.828 10.828 122.49 90.00 90.00
Positions (direct):
Tm 0.384 0.569 0.964
Tm 0.549 0.627 0.709
Tm 0.902 0.058 0.942
Tm 0.884 0.964 0.569
Tm 0.549 0.291 0.373
Tm 0.149 0.713 0.287
Tm 0.049 0.373 0.291
Tm 0.884 0.431 0.036
Tm 0.402 0.942 0.058
Tm 0.049 0.709 0.627
Tm 0.649 0.287 0.713
Tm 0.384 0.036 0.431
Ho 0.078 0.396 0.604
Ho 0.915 0.712 0.953
Ho 0.578 0.604 0.396
Ho 0.415 0.953 0.712
Ho 0.415 0.288 0.047
Ho 0.915 0.047 0.288
Tl 0.159 0.237 0.763
Tl 0.659 0.763 0.237

Values from the calculation:
Total moment ... 0.00 μB per formula unit
Formation energy ... 44.0 meV per atom
Polymorph energy (0 for the lowest one) ... 0.024 eV/atom

***

[11]
The following is a GGA-PBE calculation of a geometry-optimized Sr2ZnBr structure, from Alexandria via LeMat-Bulk.

Lattice parameters (Å, degrees): 6.241 6.241 6.241 137.57 113.12 82.49
Positions (direct):
Sr 0.486 0.486 0.000
Sr 0.014 0.014 0.000
Br 0.250 0.750 0.500
Zn 0.750 0.250 0.500

Values from the calculation:
Total moment ... 0.23 μB per formula unit
Polymorph energy (0 for the lowest one) ... 0.222 eV/atom

***

[12]
The following is a GGA-PBE calculation of a geometry-optimized BaCaPrGd structure, from Alexandria via LeMat-Bulk.

Lattice parameters (Å, degrees): 6.145 6.145 6.145 60.00 60.00 60.00
Positions (direct):
Ca 0.500 0.500 0.500
Pr 0.750 0.750 0.750
Ba 0.250 0.250 0.250
Gd 0.000 0.000 0.000

Values from the calculation:
Total moment ... 7.59 μB per formula unit
Formation energy ... 191.5 meV per atom